(1)
## Cr3ReBi (PBE-GGA)

Data for a geometry-optimized Cr3ReBi structure.

Unit cell a=4.7599 b=4.7599 c=4.7599 alpha=90.00 beta=90.00 gamma=90.00
Space group Pm-3m (No. 221)
Inequivalent atoms, fractional coordinates:
1 Cr 0.0000 0.0000 0.5000 [3 per cell]
2 Re 0.0000 0.0000 0.0000 [1 per cell]
3 Bi 0.5000 0.5000 0.5000 [1 per cell]

Computed properties:
For the calculated total energy, the calculation gives -0.28994 Ha/atom. Its density of states at the Fermi level is 3.89 states/eV per cell. The calculation puts the calculated volume at 108 Å³/cell.

***

(2)
## CrReBi2 (PBE-GGA)

Data for a geometry-optimized CrReBi2 structure.

Unit cell a=6.9273 b=6.9273 c=6.9273 alpha=90.00 beta=90.00 gamma=90.00
Space group Fm-3m (No. 225)
Inequivalent atoms, fractional coordinates:
1 Cr 0.0000 0.0000 0.0000 [4 per cell]
2 Re 0.0000 0.0000 0.5000 [4 per cell]
3 Bi 0.2500 0.2500 0.2500 [8 per cell]

Computed properties:
For the calculated total energy, the calculation gives -0.24320 Ha/atom. Its density of states at the Fermi level is 11.00 states/eV per cell. The calculation puts the calculated volume at 332 Å³/cell.

***

(3)
## Cr2ReBi (PBE-GGA)

Data for a geometry-optimized Cr2ReBi structure.

Unit cell a=4.2945 b=4.2945 c=16.8131 alpha=90.00 beta=90.00 gamma=90.00
Space group I-42d (No. 122)
Inequivalent atoms, fractional coordinates:
1 Cr 0.2108 0.2500 0.1250 [8 per cell]
2 Re 0.0000 0.0000 0.0000 [4 per cell]
3 Bi 0.0000 0.0000 0.5000 [4 per cell]

Computed properties:
For the calculated total energy, the calculation gives -0.28343 Ha/atom. Its density of states at the Fermi level is 12.72 states/eV per cell. The calculation puts the calculated volume at 310 Å³/cell.

***

(4)
## CrRe3Bi (PBE-GGA)

Data for a geometry-optimized CrRe3Bi structure.

Unit cell a=4.5662 b=4.5662 c=4.5662 alpha=90.00 beta=90.00 gamma=90.00
Space group Pm-3m (No. 221)
Inequivalent atoms, fractional coordinates:
1 Cr 0.0000 0.0000 0.0000 [1 per cell]
2 Re 0.0000 0.0000 0.5000 [3 per cell]
3 Bi 0.5000 0.5000 0.5000 [1 per cell]

Computed properties:
For the calculated total energy, the calculation gives -0.31635 Ha/atom. Its density of states at the Fermi level is 5.45 states/eV per cell. The calculation puts the calculated volume at 95 Å³/cell.

***

(5)
## CrReBi3 (PBE-GGA)

Data for a geometry-optimized CrReBi3 structure.

Unit cell a=5.1931 b=5.1931 c=5.1931 alpha=90.00 beta=90.00 gamma=90.00
Space group Pm-3m (No. 221)
Inequivalent atoms, fractional coordinates:
1 Cr 0.0000 0.0000 0.0000 [1 per cell]
2 Re 0.5000 0.5000 0.5000 [1 per cell]
3 Bi 0.0000 0.0000 0.5000 [3 per cell]

Computed properties:
For the calculated total energy, the calculation gives -0.19444 Ha/atom. Its density of states at the Fermi level is 4.88 states/eV per cell. The calculation puts the calculated volume at 140 Å³/cell.

***

(6)
## CrReBi2 (PBE-GGA)

Data for a geometry-optimized CrReBi2 structure.

Unit cell a=6.6156 b=6.6156 c=11.6572 alpha=90.00 beta=90.00 gamma=90.00
Space group I-42d (No. 122)
Inequivalent atoms, fractional coordinates:
1 Cr 0.0000 0.0000 0.0000 [4 per cell]
2 Re 0.0000 0.0000 0.5000 [4 per cell]
3 Bi 0.2294 0.2500 0.6250 [8 per cell]

Computed properties:
For the calculated total energy, the calculation gives -0.22557 Ha/atom. Its density of states at the Fermi level is 19.87 states/eV per cell. The calculation puts the calculated volume at 510 Å³/cell.

***

(7)
## Cr2Re2Bi (PBE-GGA)

Data for a geometry-optimized Cr2Re2Bi structure.

Unit cell a=7.4813 b=7.4813 c=2.8991 alpha=90.00 beta=90.00 gamma=90.00
Space group P4/mbm (No. 127)
Inequivalent atoms, fractional coordinates:
1 Cr 0.1361 0.3639 0.0000 [4 per cell]
2 Re 0.1415 0.6415 0.5000 [4 per cell]
3 Bi 0.0000 0.0000 0.0000 [2 per cell]

Computed properties:
For the calculated total energy, the calculation gives -0.33098 Ha/atom. Its density of states at the Fermi level is 9.80 states/eV per cell. The calculation puts the calculated volume at 162 Å³/cell.

***

(8)
## Cr2Re2Bi (PBE-GGA)

Data for a geometry-optimized Cr2Re2Bi structure.

Unit cell a=3.9937 b=3.9937 c=11.0044 alpha=90.00 beta=90.00 gamma=90.00
Space group I4/mmm (No. 139)
Inequivalent atoms, fractional coordinates:
1 Cr 0.0000 0.0000 0.1225 [4 per cell]
2 Re 0.0000 0.5000 0.2500 [4 per cell]
3 Bi 0.0000 0.0000 0.5000 [2 per cell]

Computed properties:
For the calculated total energy, the calculation gives -0.33374 Ha/atom. Its density of states at the Fermi level is 7.64 states/eV per cell. The calculation puts the calculated volume at 176 Å³/cell.

***

(9)
## CrReBiS2 (PBE-GGA)

Data for a geometry-optimized CrReBiS2 structure.

Unit cell a=4.5032 b=4.5032 c=4.7940 alpha=90.00 beta=90.00 gamma=90.00
Space group P4/mmm (No. 123)
Inequivalent atoms, fractional coordinates:
1 Cr 0.0000 0.0000 0.0000 [1 per cell]
2 Re 0.0000 0.0000 0.5000 [1 per cell]
3 Bi 0.5000 0.5000 0.5000 [1 per cell]
4 S 0.0000 0.5000 0.0000 [2 per cell]

Computed properties:
For the calculated total energy, the calculation gives -0.22418 Ha/atom. Its density of states at the Fermi level is 3.77 states/eV per cell. The calculation puts the calculated volume at 97 Å³/cell. The calculation puts the energy relative to the elements, uncorrected at 72 kJ per mole of atoms.

***

(10)
## CrReBi2Se (PBE-GGA)

Data for a geometry-optimized CrReBi2Se structure.

Unit cell a=5.3944 b=5.3944 c=4.4267 alpha=90.00 beta=90.00 gamma=90.00
Space group P4/mmm (No. 123)
Inequivalent atoms, fractional coordinates:
1 Cr 0.0000 0.0000 0.0000 [1 per cell]
2 Re 0.5000 0.5000 0.5000 [1 per cell]
3 Bi 0.0000 0.5000 0.0000 [2 per cell]
4 Se 0.0000 0.0000 0.5000 [1 per cell]

Computed properties:
For the calculated total energy, the calculation gives -0.19944 Ha/atom. Its density of states at the Fermi level is 2.22 states/eV per cell. The calculation puts the calculated volume at 129 Å³/cell. The calculation puts the energy relative to the elements, uncorrected at 119 kJ per mole of atoms.

***

(11)
## CrBi2Rh (PBE-GGA)

Data for a geometry-optimized CrBi2Rh structure.

Unit cell a=6.7999 b=6.7999 c=6.7999 alpha=90.00 beta=90.00 gamma=90.00
Space group Fm-3m (No. 225)
Inequivalent atoms, fractional coordinates:
1 Cr 0.0000 0.0000 0.0000 [4 per cell]
2 Bi 0.2500 0.2500 0.2500 [8 per cell]
3 Rh 0.0000 0.0000 0.5000 [4 per cell]

Computed properties:
For the calculated total energy, the calculation gives -0.20873 Ha/atom. Its density of states at the Fermi level is 15.92 states/eV per cell. The calculation puts the calculated volume at 314 Å³/cell.

***

(12)
## CrBi3Rh (PBE-GGA)

Data for a geometry-optimized CrBi3Rh structure.

Unit cell a=5.3191 b=5.3191 c=5.3191 alpha=90.00 beta=90.00 gamma=90.00
Space group Pm-3m (No. 221)
Inequivalent atoms, fractional coordinates:
1 Cr 0.0000 0.0000 0.0000 [1 per cell]
2 Bi 0.0000 0.5000 0.5000 [3 per cell]
3 Rh 0.5000 0.5000 0.5000 [1 per cell]

Computed properties:
For the calculated total energy, the calculation gives -0.18736 Ha/atom. Its density of states at the Fermi level is 4.81 states/eV per cell. The calculation puts the calculated volume at 150 Å³/cell.

***

(13)
## CrBiRh3 (PBE-GGA)

Data for a geometry-optimized CrBiRh3 structure.

Unit cell a=4.5422 b=4.5422 c=4.5422 alpha=90.00 beta=90.00 gamma=90.00
Space group Pm-3m (No. 221)
Inequivalent atoms, fractional coordinates:
1 Cr 0.0000 0.0000 0.0000 [1 per cell]
2 Bi 0.5000 0.5000 0.5000 [1 per cell]
3 Rh 0.0000 0.0000 0.5000 [3 per cell]

Computed properties:
For the calculated total energy, the calculation gives -0.23846 Ha/atom. Its density of states at the Fermi level is 4.88 states/eV per cell. The calculation puts the calculated volume at 94 Å³/cell.

***

(14)
## CrBi2Rh (PBE-GGA)

Data for a geometry-optimized CrBi2Rh structure.

Unit cell a=7.3973 b=7.3973 c=6.5059 alpha=90.00 beta=90.00 gamma=90.00
Space group I-42d (No. 122)
Inequivalent atoms, fractional coordinates:
1 Cr 0.0000 0.0000 0.0000 [4 per cell]
2 Bi 0.2466 0.7500 0.6250 [8 per cell]
3 Rh 0.0000 0.0000 0.5000 [4 per cell]

Computed properties:
For the calculated total energy, the calculation gives -0.19699 Ha/atom. Its density of states at the Fermi level is 26.57 states/eV per cell. The calculation puts the calculated volume at 356 Å³/cell.

***

(15)
## CrBiSb2Rh (PBE-GGA)

Data for a geometry-optimized CrBiSb2Rh structure.

Unit cell a=5.1098 b=5.1098 c=4.6647 alpha=90.00 beta=90.00 gamma=90.00
Space group P4/mmm (No. 123)
Inequivalent atoms, fractional coordinates:
1 Cr 0.0000 0.0000 0.0000 [1 per cell]
2 Bi 0.5000 0.5000 0.5000 [1 per cell]
3 Sb 0.0000 0.5000 0.0000 [2 per cell]
4 Rh 0.0000 0.0000 0.5000 [1 per cell]

Computed properties:
For the calculated total energy, the calculation gives -0.19228 Ha/atom. Its density of states at the Fermi level is 3.68 states/eV per cell. The calculation puts the calculated volume at 122 Å³/cell. The calculation puts the energy relative to the elements, uncorrected at 57 kJ per mole of atoms.

***

(16)
## Cr2BiRhSe (PBE-GGA)

Data for a geometry-optimized Cr2BiRhSe structure.

Unit cell a=4.6227 b=4.6227 c=5.5976 alpha=90.00 beta=90.00 gamma=90.00
Space group P4/mmm (No. 123)
Inequivalent atoms, fractional coordinates:
1 Cr 0.0000 0.5000 0.0000 [2 per cell]
2 Bi 0.0000 0.0000 0.5000 [1 per cell]
3 Rh 0.5000 0.5000 0.5000 [1 per cell]
4 Se 0.0000 0.0000 0.0000 [1 per cell]

Computed properties:
For the calculated total energy, the calculation gives -0.21506 Ha/atom. Its density of states at the Fermi level is 3.57 states/eV per cell. The calculation puts the calculated volume at 120 Å³/cell. The calculation puts the energy relative to the elements, uncorrected at 91 kJ per mole of atoms.

***

(17)
## CrSi2BiRh (PBE-GGA)

Data for a geometry-optimized CrSi2BiRh structure.

Unit cell a=4.4748 b=4.4748 c=4.7666 alpha=90.00 beta=90.00 gamma=90.00
Space group P4/mmm (No. 123)
Inequivalent atoms, fractional coordinates:
1 Cr 0.0000 0.0000 0.0000 [1 per cell]
2 Si 0.0000 0.5000 0.0000 [2 per cell]
3 Bi 0.5000 0.5000 0.5000 [1 per cell]
4 Rh 0.0000 0.0000 0.5000 [1 per cell]

Computed properties:
For the calculated total energy, the calculation gives -0.21401 Ha/atom. Its density of states at the Fermi level is 3.13 states/eV per cell. The calculation puts the calculated volume at 95 Å³/cell. The calculation puts the energy relative to the elements, uncorrected at 50 kJ per mole of atoms.

***

(18)
## CrSi2BiRh (PBE-GGA)

Data for a geometry-optimized CrSi2BiRh structure.

Unit cell a=5.2223 b=5.2223 c=4.8699 alpha=90.00 beta=90.00 gamma=90.00
Space group P4/mmm (No. 123)
Inequivalent atoms, fractional coordinates:
1 Cr 0.0000 0.0000 0.0000 [1 per cell]
2 Si 0.0000 0.5000 0.5000 [2 per cell]
3 Bi 0.0000 0.0000 0.5000 [1 per cell]
4 Rh 0.5000 0.5000 0.0000 [1 per cell]

Computed properties:
For the calculated total energy, the calculation gives -0.15067 Ha/atom. Its density of states at the Fermi level is 9.69 states/eV per cell. The calculation puts the calculated volume at 133 Å³/cell. The calculation puts the energy relative to the elements, uncorrected at 216 kJ per mole of atoms.

***

(19)
## Sr2CrBiRh (PBE-GGA)

Data for a geometry-optimized Sr2CrBiRh structure.

Unit cell a=5.8159 b=5.8159 c=5.0049 alpha=90.00 beta=90.00 gamma=90.00
Space group P4/mmm (No. 123)
Inequivalent atoms, fractional coordinates:
1 Sr 0.0000 0.5000 0.0000 [2 per cell]
2 Cr 0.0000 0.0000 0.0000 [1 per cell]
3 Bi 0.0000 0.0000 0.5000 [1 per cell]
4 Rh 0.5000 0.5000 0.5000 [1 per cell]

Computed properties:
For the calculated total energy, the calculation gives -0.15229 Ha/atom. Its density of states at the Fermi level is 5.10 states/eV per cell. The calculation puts the calculated volume at 169 Å³/cell.

***

(20)
## CrBi2RhW (PBE-GGA)

Data for a geometry-optimized CrBi2RhW structure.

Unit cell a=5.1341 b=5.1341 c=4.4860 alpha=90.00 beta=90.00 gamma=90.00
Space group P4/mmm (No. 123)
Inequivalent atoms, fractional coordinates:
1 Cr 0.0000 0.0000 0.0000 [1 per cell]
2 Bi 0.0000 0.5000 0.0000 [2 per cell]
3 Rh 0.0000 0.0000 0.5000 [1 per cell]
4 W 0.5000 0.5000 0.5000 [1 per cell]

Computed properties:
For the calculated total energy, the calculation gives -0.22144 Ha/atom. Its density of states at the Fermi level is 4.41 states/eV per cell. The calculation puts the calculated volume at 118 Å³/cell.